A:
# Mg2AgAu

A relaxed Mg2AgAu crystal (PBE, OQMD).

Summary:
As for the space-group type: I4/mmm, No. 139. The crystal system is tetragonal.

The structure in CIF format:
```
data_Mg2AgAu
_cell_length_a 4.674
_cell_length_b 6.593
_cell_length_c 14.030
_cell_angle_alpha 90.00
_cell_angle_beta 90.00
_cell_angle_gamma 90.00
_symmetry_space_group_name_H-M 'P 1'
_symmetry_Int_Tables_number 1
loop_
_symmetry_equiv_pos_as_xyz
'x,y,z'
loop_
_atom_site_label
_atom_site_type_symbol
_atom_site_fract_x
_atom_site_fract_y
_atom_site_fract_z
Ag1 Ag 0.500 0.500 0.833
Ag2 Ag 0.000 0.000 0.667
Ag3 Ag 0.500 0.500 0.500
Ag4 Ag 0.000 0.000 0.333
Ag5 Ag 0.000 0.000 0.000
Ag6 Ag 0.500 0.500 0.167
Mg1 Mg 0.000 0.250 0.833
Mg2 Mg 0.000 0.750 0.500
Mg3 Mg 0.500 0.750 0.333
Mg4 Mg 0.000 0.750 0.833
Mg5 Mg 0.500 0.750 0.000
Mg6 Mg 0.000 0.750 0.167
Mg7 Mg 0.500 0.750 0.667
Mg8 Mg 0.500 0.250 0.000
Mg9 Mg 0.000 0.250 0.167
Mg10 Mg 0.500 0.250 0.333
Mg11 Mg 0.500 0.250 0.667
Mg12 Mg 0.000 0.250 0.500
Au1 Au 0.000 0.500 0.667
Au2 Au 0.000 0.500 0.000
Au3 Au 0.500 0.000 0.167
Au4 Au 0.500 0.000 0.833
Au5 Au 0.000 0.500 0.333
Au6 Au 0.500 0.000 0.500
```

B:
# Mg2AgAu

A relaxed Mg2AgAu crystal (PBE, OQMD).

Summary:
As for the space-group type: I4/mmm, No. 139. The crystal system is tetragonal.

The structure in CIF format:
```
data_Mg2AgAu
_cell_length_a 4.825
_cell_length_b 4.825
_cell_length_c 4.825
_cell_angle_alpha 126.30
_cell_angle_beta 126.30
_cell_angle_gamma 79.39
_symmetry_space_group_name_H-M 'P 1'
_symmetry_Int_Tables_number 1
loop_
_symmetry_equiv_pos_as_xyz
'x,y,z'
loop_
_atom_site_label
_atom_site_type_symbol
_atom_site_fract_x
_atom_site_fract_y
_atom_site_fract_z
Ag1 Ag 0.500 0.500 0.000
Au1 Au 0.000 0.000 0.000
Mg1 Mg 0.750 0.250 0.500
Mg2 Mg 0.250 0.750 0.500
```

Most stable structure: A

A:
# AgAuNO

A relaxed AgAuNO crystal (PBE, OQMD).

Summary:
As for the space-group type: P4/nmm, No. 129. The crystal system is tetragonal.

The structure in CIF format:
```
data_AgAuNO
_cell_length_a 4.630
_cell_length_b 4.630
_cell_length_c 4.675
_cell_angle_alpha 90.00
_cell_angle_beta 90.00
_cell_angle_gamma 90.00
_symmetry_space_group_name_H-M 'P 1'
_symmetry_Int_Tables_number 1
loop_
_symmetry_equiv_pos_as_xyz
'x,y,z'
loop_
_atom_site_label
_atom_site_type_symbol
_atom_site_fract_x
_atom_site_fract_y
_atom_site_fract_z
Au1 Au 0.250 0.250 0.002
Au2 Au 0.750 0.750 0.998
Ag1 Ag 0.750 0.250 0.500
Ag2 Ag 0.250 0.750 0.500
O1 O 0.750 0.250 0.000
O2 O 0.250 0.750 0.000
N1 N 0.250 0.250 0.502
N2 N 0.750 0.750 0.498
```

B:
# AgAuNO

A relaxed AgAuNO crystal (PBE, OQMD).

Summary:
As for the space-group type: Pmc2_1, No. 26. The crystal system is orthorhombic.

The structure in CIF format:
```
data_AgAuNO
_cell_length_a 3.823
_cell_length_b 5.990
_cell_length_c 5.094
_cell_angle_alpha 90.00
_cell_angle_beta 90.00
_cell_angle_gamma 90.00
_symmetry_space_group_name_H-M 'P 1'
_symmetry_Int_Tables_number 1
loop_
_symmetry_equiv_pos_as_xyz
'x,y,z'
loop_
_atom_site_label
_atom_site_type_symbol
_atom_site_fract_x
_atom_site_fract_y
_atom_site_fract_z
Ag1 Ag 0.500 0.371 0.978
Ag2 Ag 0.500 0.871 0.022
O1 O 0.500 0.984 0.596
O2 O 0.500 0.484 0.404
Au1 Au 0.000 0.569 0.482
Au2 Au 0.000 0.069 0.518
N1 N 0.000 0.830 0.227
N2 N 0.000 0.330 0.773
```

C:
# AgAuNO

A relaxed AgAuNO crystal (PBE, OQMD).

Summary:
As for the space-group type: P4/nmm, No. 129. The crystal system is tetragonal.

The structure in CIF format:
```
data_AgAuNO
_cell_length_a 4.156
_cell_length_b 4.156
_cell_length_c 6.799
_cell_angle_alpha 90.00
_cell_angle_beta 90.00
_cell_angle_gamma 90.06
_symmetry_space_group_name_H-M 'P 1'
_symmetry_Int_Tables_number 1
loop_
_symmetry_equiv_pos_as_xyz
'x,y,z'
loop_
_atom_site_label
_atom_site_type_symbol
_atom_site_fract_x
_atom_site_fract_y
_atom_site_fract_z
Ag1 Ag 0.250 0.250 0.073
Ag2 Ag 0.750 0.750 0.927
Au1 Au 0.750 0.250 0.500
Au2 Au 0.250 0.750 0.500
N1 N 0.250 0.250 0.579
N2 N 0.750 0.750 0.421
O1 O 0.250 0.750 0.000
O2 O 0.750 0.250 0.000
```

Most stable structure: B

A:
# AgAuNO

A relaxed AgAuNO crystal (PBE, OQMD).

Summary:
As for the space-group type: P4/nmm, No. 129. The crystal system is tetragonal.

The structure in CIF format:
```
data_AgAuNO
_cell_length_a 4.252
_cell_length_b 4.252
_cell_length_c 6.331
_cell_angle_alpha 90.00
_cell_angle_beta 90.00
_cell_angle_gamma 90.00
_symmetry_space_group_name_H-M 'P 1'
_symmetry_Int_Tables_number 1
loop_
_symmetry_equiv_pos_as_xyz
'x,y,z'
loop_
_atom_site_label
_atom_site_type_symbol
_atom_site_fract_x
_atom_site_fract_y
_atom_site_fract_z
O1 O 0.750 0.250 0.000
O2 O 0.250 0.750 0.000
Au1 Au 0.250 0.750 0.500
Au2 Au 0.750 0.250 0.500
N1 N 0.250 0.250 0.571
N2 N 0.750 0.750 0.429
Ag1 Ag 0.750 0.750 0.945
Ag2 Ag 0.250 0.250 0.055
```

B:
# AgAuNO

A relaxed AgAuNO crystal (PBE, OQMD).

Summary:
As for the space-group type: Cmme, No. 67. The crystal system is orthorhombic.

The structure in CIF format:
```
data_AgAuNO
_cell_length_a 4.162
_cell_length_b 4.162
_cell_length_c 6.664
_cell_angle_alpha 90.00
_cell_angle_beta 90.00
_cell_angle_gamma 89.90
_symmetry_space_group_name_H-M 'P 1'
_symmetry_Int_Tables_number 1
loop_
_symmetry_equiv_pos_as_xyz
'x,y,z'
loop_
_atom_site_label
_atom_site_type_symbol
_atom_site_fract_x
_atom_site_fract_y
_atom_site_fract_z
Ag1 Ag 0.750 0.250 0.500
Ag2 Ag 0.250 0.750 0.500
N1 N 0.750 0.750 0.416
N2 N 0.250 0.250 0.584
Au1 Au 0.250 0.250 0.078
Au2 Au 0.750 0.750 0.922
O1 O 0.750 0.250 0.000
O2 O 0.250 0.750 0.000
```

Most stable structure: A

A:
# AgAuNO

A relaxed AgAuNO crystal (PBE, OQMD).

Summary:
As for the space-group type: Pca2_1, No. 29. The crystal system is orthorhombic.

The structure in CIF format:
```
data_AgAuNO
_cell_length_a 5.586
_cell_length_b 5.657
_cell_length_c 7.134
_cell_angle_alpha 90.00
_cell_angle_beta 90.00
_cell_angle_gamma 90.00
_symmetry_space_group_name_H-M 'P 1'
_symmetry_Int_Tables_number 1
loop_
_symmetry_equiv_pos_as_xyz
'x,y,z'
loop_
_atom_site_label
_atom_site_type_symbol
_atom_site_fract_x
_atom_site_fract_y
_atom_site_fract_z
Ag1 Ag 0.576 0.482 0.656
Ag2 Ag 0.076 0.018 0.656
Ag3 Ag 0.076 0.518 0.344
Ag4 Ag 0.576 0.982 0.344
O1 O 0.415 0.104 0.063
O2 O 0.915 0.896 0.937
O3 O 0.415 0.604 0.937
O4 O 0.915 0.396 0.063
Au1 Au 0.029 0.080 0.191
Au2 Au 0.529 0.920 0.809
Au3 Au 0.029 0.580 0.809
Au4 Au 0.529 0.420 0.191
N1 N 0.183 0.885 0.387
N2 N 0.183 0.385 0.613
N3 N 0.683 0.615 0.387
N4 N 0.683 0.115 0.613
```

B:
# AgAuNO

A relaxed AgAuNO crystal (PBE, OQMD).

Summary:
As for the space-group type: Pmc2_1, No. 26. The crystal system is orthorhombic.

The structure in CIF format:
```
data_AgAuNO
_cell_length_a 3.886
_cell_length_b 5.555
_cell_length_c 5.298
_cell_angle_alpha 90.00
_cell_angle_beta 90.00
_cell_angle_gamma 90.00
_symmetry_space_group_name_H-M 'P 1'
_symmetry_Int_Tables_number 1
loop_
_symmetry_equiv_pos_as_xyz
'x,y,z'
loop_
_atom_site_label
_atom_site_type_symbol
_atom_site_fract_x
_atom_site_fract_y
_atom_site_fract_z
N1 N 0.000 0.397 0.774
N2 N 0.000 0.897 0.226
Ag1 Ag 0.000 0.048 0.606
Ag2 Ag 0.000 0.548 0.394
Au1 Au 0.500 0.960 0.161
Au2 Au 0.500 0.460 0.839
O1 O 0.500 0.850 0.755
O2 O 0.500 0.350 0.245
```

Most stable structure: B

A:
# NaNbAgAu

A relaxed NaNbAgAu crystal (PBE, OQMD).

Summary:
As for the space-group type: F-43m, No. 216. The crystal system is cubic.

The structure in CIF format:
```
data_NaNbAgAu
_cell_length_a 4.655
_cell_length_b 4.655
_cell_length_c 4.655
_cell_angle_alpha 60.00
_cell_angle_beta 60.00
_cell_angle_gamma 60.00
_symmetry_space_group_name_H-M 'P 1'
_symmetry_Int_Tables_number 1
loop_
_symmetry_equiv_pos_as_xyz
'x,y,z'
loop_
_atom_site_label
_atom_site_type_symbol
_atom_site_fract_x
_atom_site_fract_y
_atom_site_fract_z
Na1 Na 0.250 0.250 0.250
Ag1 Ag 0.500 0.500 0.500
Au1 Au 0.750 0.750 0.750
Nb1 Nb 0.000 0.000 0.000
```

B:
# NaNbAgAu

A relaxed NaNbAgAu crystal (PBE, OQMD).

Summary:
As for the space-group type: F-43m, No. 216. The crystal system is cubic.

The structure in CIF format:
```
data_NaNbAgAu
_cell_length_a 4.716
_cell_length_b 4.716
_cell_length_c 4.716
_cell_angle_alpha 60.00
_cell_angle_beta 60.00
_cell_angle_gamma 60.00
_symmetry_space_group_name_H-M 'P 1'
_symmetry_Int_Tables_number 1
loop_
_symmetry_equiv_pos_as_xyz
'x,y,z'
loop_
_atom_site_label
_atom_site_type_symbol
_atom_site_fract_x
_atom_site_fract_y
_atom_site_fract_z
Na1 Na 0.500 0.500 0.500
Ag1 Ag 0.250 0.250 0.250
Nb1 Nb 0.000 0.000 0.000
Au1 Au 0.750 0.750 0.750
```

Most stable structure: B

A:
# Na2AgTe2Au

A relaxed Na2AgTe2Au crystal (PBE, OQMD).

Summary:
As for the space-group type: Pm, No. 6. The crystal system is monoclinic.

The structure in CIF format:
```
data_Na2AgTe2Au
_cell_length_a 8.273
_cell_length_b 4.777
_cell_length_c 15.847
_cell_angle_alpha 90.00
_cell_angle_beta 100.04
_cell_angle_gamma 90.00
_symmetry_space_group_name_H-M 'P 1'
_symmetry_Int_Tables_number 1
loop_
_symmetry_equiv_pos_as_xyz
'x,y,z'
loop_
_atom_site_label
_atom_site_type_symbol
_atom_site_fract_x
_atom_site_fract_y
_atom_site_fract_z
Te1 Te 0.312 0.500 0.437
Te2 Te 0.063 0.000 0.188
Te3 Te 0.811 0.500 0.937
Te4 Te 0.563 0.500 0.187
Te5 Te 0.062 0.500 0.688
Te6 Te 0.812 0.000 0.437
Te7 Te 0.314 0.000 0.938
Te8 Te 0.564 0.000 0.688
Au1 Au 0.500 0.500 0.001
Au2 Au 0.749 0.000 0.249
Au3 Au 0.749 0.500 0.750
Au4 Au 0.250 0.500 0.249
Na1 Na 0.437 0.000 0.312
Na2 Na 0.936 0.000 0.812
Na3 Na 0.439 0.500 0.813
Na4 Na 0.688 0.500 0.563
Na5 Na 0.189 0.500 0.063
Na6 Na 0.938 0.500 0.312
Na7 Na 0.187 0.000 0.562
Na8 Na 0.686 0.000 0.062
Ag1 Ag 0.500 0.000 0.500
Ag2 Ag 0.250 0.000 0.750
Ag3 Ag 0.000 0.500 0.500
Ag4 Ag 0.000 0.000 0.000
```

B:
# Na2AgTe2Au

A relaxed Na2AgTe2Au crystal (PBE, OQMD).

Summary:
As for the space-group type: P-6m2, No. 187. The crystal system is hexagonal.

The structure in CIF format:
```
data_Na2AgTe2Au
_cell_length_a 4.726
_cell_length_b 4.726
_cell_length_c 8.407
_cell_angle_alpha 90.00
_cell_angle_beta 90.00
_cell_angle_gamma 120.00
_symmetry_space_group_name_H-M 'P 1'
_symmetry_Int_Tables_number 1
loop_
_symmetry_equiv_pos_as_xyz
'x,y,z'
loop_
_atom_site_label
_atom_site_type_symbol
_atom_site_fract_x
_atom_site_fract_y
_atom_site_fract_z
Na1 Na 0.667 0.333 0.751
Na2 Na 0.667 0.333 0.249
Au1 Au 0.333 0.667 0.500
Te1 Te 0.000 0.000 0.500
Te2 Te 0.333 0.667 0.000
Ag1 Ag 0.000 0.000 0.000
```

Most stable structure: B

A:
# NbAgAu

A relaxed NbAgAu crystal (PBE, OQMD).

Summary:
As for the space-group type: F-43m, No. 216. The crystal system is cubic.

The structure in CIF format:
```
data_NbAgAu
_cell_length_a 4.440
_cell_length_b 4.440
_cell_length_c 4.440
_cell_angle_alpha 60.00
_cell_angle_beta 60.00
_cell_angle_gamma 60.00
_symmetry_space_group_name_H-M 'P 1'
_symmetry_Int_Tables_number 1
loop_
_symmetry_equiv_pos_as_xyz
'x,y,z'
loop_
_atom_site_label
_atom_site_type_symbol
_atom_site_fract_x
_atom_site_fract_y
_atom_site_fract_z
Au1 Au 0.000 0.000 0.000
Nb1 Nb 0.750 0.750 0.750
Ag1 Ag 0.250 0.250 0.250
```

B:
# NbAgAu

A relaxed NbAgAu crystal (PBE, OQMD).

Summary:
As for the space-group type: F-43m, No. 216. The crystal system is cubic.

The structure in CIF format:
```
data_NbAgAu
_cell_length_a 4.484
_cell_length_b 4.484
_cell_length_c 4.484
_cell_angle_alpha 60.00
_cell_angle_beta 60.00
_cell_angle_gamma 60.00
_symmetry_space_group_name_H-M 'P 1'
_symmetry_Int_Tables_number 1
loop_
_symmetry_equiv_pos_as_xyz
'x,y,z'
loop_
_atom_site_label
_atom_site_type_symbol
_atom_site_fract_x
_atom_site_fract_y
_atom_site_fract_z
Nb1 Nb 0.000 0.000 0.000
Au1 Au 0.750 0.750 0.750
Ag1 Ag 0.250 0.250 0.250
```

Most stable structure: A

A:
# Ag2Au2O5

A relaxed Ag2Au2O5 crystal (PBE, OQMD).

Summary:
As for the space-group type: P4/mmm, No. 123. The crystal system is tetragonal.

The structure in CIF format:
```
data_Ag2Au2O5
_cell_length_a 8.796
_cell_length_b 3.773
_cell_length_c 3.773
_cell_angle_alpha 90.00
_cell_angle_beta 90.00
_cell_angle_gamma 90.00
_symmetry_space_group_name_H-M 'P 1'
_symmetry_Int_Tables_number 1
loop_
_symmetry_equiv_pos_as_xyz
'x,y,z'
loop_
_atom_site_label
_atom_site_type_symbol
_atom_site_fract_x
_atom_site_fract_y
_atom_site_fract_z
O1 O 0.148 0.000 0.500
O2 O 0.852 0.500 0.000
O3 O 0.148 0.500 0.000
O4 O 0.500 0.500 0.500
O5 O 0.852 0.000 0.500
Au1 Au 0.500 0.000 0.000
Au2 Au 0.000 0.000 0.000
Ag1 Ag 0.754 0.500 0.500
Ag2 Ag 0.246 0.500 0.500
```

B:
# Ag2Au2O5

A relaxed Ag2Au2O5 crystal (PBE, OQMD).

Summary:
As for the space-group type: P4/mmm, No. 123. The crystal system is tetragonal.

The structure in CIF format:
```
data_Ag2Au2O5
_cell_length_a 6.969
_cell_length_b 4.039
_cell_length_c 4.039
_cell_angle_alpha 90.00
_cell_angle_beta 90.00
_cell_angle_gamma 90.00
_symmetry_space_group_name_H-M 'P 1'
_symmetry_Int_Tables_number 1
loop_
_symmetry_equiv_pos_as_xyz
'x,y,z'
loop_
_atom_site_label
_atom_site_type_symbol
_atom_site_fract_x
_atom_site_fract_y
_atom_site_fract_z
O1 O 0.253 0.000 0.500
O2 O 0.253 0.500 0.000
O3 O 0.500 0.500 0.500
O4 O 0.747 0.500 0.000
O5 O 0.747 0.000 0.500
Au1 Au 0.193 0.500 0.500
Au2 Au 0.807 0.500 0.500
Ag1 Ag 0.500 0.000 0.000
Ag2 Ag 0.000 0.000 0.000
```

Most stable structure: B